[1]
Li3YMg9 after structural relaxation, computed with GGA-PBE.

Results
V: 582.3 Å³ per cell
energy of formation from the pure elements: -55 kJ/mol of formula units
total moment: 0.0 Bohr magnetons per cell
E: -54.3 eV for the cell shown

Cell and atoms, written as CIF:
```
data_Li3YMg9
_chemical_formula_sum 'Li6 Y2 Mg18'
_space_group_name_H-M_alt 'C 1 2/m 1'
_space_group_IT_number 12
_cell_length_a 5.507
_cell_length_b 14.564
_cell_length_c 7.735
_cell_angle_alpha 90.00
_cell_angle_beta 110.17
_cell_angle_gamma 90.00
loop_
_space_group_symop_operation_xyz
'x,y,z'
'-x,-y,-z'
'-x,y,-z'
'x,-y,z'
'x+1/2,y+1/2,z'
'-x+1/2,-y+1/2,-z'
'-x+1/2,y+1/2,-z'
'x+1/2,-y+1/2,z'
loop_
_atom_site_label
_atom_site_fract_x
_atom_site_fract_y
_atom_site_fract_z
Li1 0.000 0.000 0.000
Li2 0.250 0.250 0.500
Y1 0.000 0.500 0.500
Mg1 0.000 0.500 0.000
Mg2 0.098 0.107 0.709
Mg3 0.173 0.323 0.847
```

---

[2]
TbPm2Rh2 after structural relaxation, computed with GGA-PBE.

Results
V: 247.4 Å³ per cell
energy of formation from the pure elements: -301 kJ/mol of formula units
polymorph energy (0 for the lowest one): 0 meV/atom
total moment: 0.0 Bohr magnetons per cell
E: -63.9 eV for the cell shown

Cell and atoms, written as CIF:
```
data_TbPm2Rh2
_chemical_formula_sum 'Tb2 Pm4 Rh4'
_space_group_name_H-M_alt 'I m m m'
_space_group_IT_number 71
_space_group_name_Hall '-I 2 2'
_cell_length_a 4.076
_cell_length_b 6.481
_cell_length_c 9.365
_cell_angle_alpha 90.00
_cell_angle_beta 90.00
_cell_angle_gamma 90.00
loop_
_atom_site_label
_atom_site_fract_x
_atom_site_fract_y
_atom_site_fract_z
Tb1 0.000 0.000 0.000
Pm1 0.000 0.500 0.193
Rh1 0.000 0.213 0.500
```

---

[3]
TiMn2TlSi after structural relaxation, computed with GGA-PBE.

Results
V: 109.7 Å³ per cell
total moment: 0.6 Bohr magnetons per cell
E: -23.3 eV for the cell shown
ΔE_f (raw): 10.74 eV per formula unit

Cell and atoms, written as CIF:
```
data_TiMn2TlSi
_chemical_formula_sum 'Ti1 Mn2 Tl1 Si1'
_space_group_name_H-M_alt 'P 4/m m m'
_space_group_IT_number 123
_space_group_name_Hall '-P 4 2'
_cell_length_a 4.770
_cell_length_b 4.770
_cell_length_c 4.820
_cell_angle_alpha 90.00
_cell_angle_beta 90.00
_cell_angle_gamma 90.00
loop_
_atom_site_label
_atom_site_fract_x
_atom_site_fract_y
_atom_site_fract_z
Ti1 0.000 0.000 0.000
Mn1 0.000 0.500 0.500
Tl1 0.500 0.500 0.500
Si1 0.500 0.500 0.000
```

---

What did the first record say?
Li3YMg9 after structural relaxation, computed with GGA-PBE.

Results
V: 582.3 Å³ per cell
energy of formation from the pure elements: -55 kJ/mol of formula units
total moment: 0.0 Bohr magnetons per cell
E: -54.3 eV for the cell shown

Cell and atoms, written as CIF:
```
data_Li3YMg9
_chemical_formula_sum 'Li6 Y2 Mg18'
_space_group_name_H-M_alt 'C 1 2/m 1'
_space_group_IT_number 12
_cell_length_a 5.507
_cell_length_b 14.564
_cell_length_c 7.735
_cell_angle_alpha 90.00
_cell_angle_beta 110.17
_cell_angle_gamma 90.00
loop_
_space_group_symop_operation_xyz
'x,y,z'
'-x,-y,-z'
'-x,y,-z'
'x,-y,z'
'x+1/2,y+1/2,z'
'-x+1/2,-y+1/2,-z'
'-x+1/2,y+1/2,-z'
'x+1/2,-y+1/2,z'
loop_
_atom_site_label
_atom_site_fract_x
_atom_site_fract_y
_atom_site_fract_z
Li1 0.000 0.000 0.000
Li2 0.250 0.250 0.500
Y1 0.000 0.500 0.500
Mg1 0.000 0.500 0.000
Mg2 0.098 0.107 0.709
Mg3 0.173 0.323 0.847
```